! Ba2RhCl (PBE, optimized geometry); values from VASP
&SYSTEM
  ibrav = 0, nat = 4, ntyp = 3
/
ATOMIC_SPECIES
Ba 137.33 Ba.upf
Rh 102.91 Rh.upf
Cl 35.45 Cl.upf
CELL_PARAMETERS angstrom
5.101 0.000 0.000
0.000 2.037 6.003
0.000 -2.037 6.003
ATOMIC_POSITIONS crystal
Ba 0.000 0.000 0.000
Ba 0.500 0.257 0.257
Rh 0.000 0.766 0.766
Cl 0.500 0.520 0.520
! Uncorrected energy: -16.75 eV/cell
! Total magnetization: 0.00 μB per atom
! E_form (uncorrected): -0.9278 eV per atom